The following is a DFT calculation (PBE-GGA) of an optimized crystal structure of Si2OsCl.

abc: 2.7971 4.3540 10.8299
angles: 90.00 90.00 90.00
Closest atoms and distances in Å follow each position.
Atoms (fractional coordinates):
1 Si 0.0000 0.0000 0.1957  2 Os 2.54, 6 Si 2.80-2.84
2 Si 0.0000 0.0000 0.8043  2 Os 2.54, 6 Si 2.80-2.84
3 Si 0.5000 0.5000 0.3043  2 Os 2.54, 6 Si 2.80-2.84
4 Si 0.5000 0.5000 0.6957  2 Os 2.54, 6 Si 2.80-2.84
5 Os 0.0000 0.5000 0.5000  4 Si 2.54, 4 Cl 2.59, 2 Os 2.80
6 Os 0.5000 0.0000 0.0000  4 Si 2.54, 4 Cl 2.59, 2 Os 2.80
7 Cl 0.0000 0.5000 0.0000  4 Os 2.59, 2 Cl 2.80
8 Cl 0.5000 0.0000 0.5000  4 Os 2.59, 2 Cl 2.80

Calculated values
- volume (Å³/atom) = 16.49
- final energy (eV/cell) = -43.10
- M_tot (μB per cell) = 0.000
- formation energy from raw total energies (kcal/mol of atoms) = 13.68
- energy relative to the lowest polymorph listed for this composition (meV/atom) = 681

The following is a DFT calculation (PBE-GGA) of an optimized crystal structure of Be2Co2Si.

abc: 5.9475 5.9475 2.6093
angles: 90.00 90.00 90.00
Closest atoms and distances in Å follow each position.
Atoms (fractional coordinates):
1 Be 0.1206 0.3794 0.0000  1 Be 2.03, 6 Co 2.15-2.22
2 Be 0.3794 0.8794 0.0000  1 Be 2.03, 6 Co 2.15-2.22
3 Be 0.6206 0.1206 0.0000  1 Be 2.03, 6 Co 2.15-2.22
4 Be 0.8794 0.6206 0.0000  1 Be 2.03, 6 Co 2.15-2.22
5 Co 0.1760 0.6760 0.5000  6 Be 2.15-2.22
6 Co 0.3240 0.1760 0.5000  6 Be 2.15-2.22
7 Co 0.6760 0.8240 0.5000  6 Be 2.15-2.22
8 Co 0.8240 0.3240 0.5000  6 Be 2.15-2.22
9 Si 0.0000 0.0000 0.0000  4 Be 2.37, 8 Co 2.55, 2 Si 2.61
10 Si 0.5000 0.5000 0.0000  4 Be 2.37, 8 Co 2.55, 2 Si 2.61

Calculated values
- volume (Å³/atom) = 9.23
- final energy (eV/cell) = -57.38
- M_tot (μB per cell) = 0.000
- formation energy from raw total energies (kcal/mol of atoms) = -7.40
- energy relative to the lowest polymorph listed for this composition (meV/atom) = 76

The following is a DFT calculation (PBE-GGA) of an optimized crystal structure of GaPO.

abc: 4.0036 8.5266 6.2601
angles: 90.00 90.11 90.00
Closest atoms and distances in Å follow each position.
Atoms (fractional coordinates):
1 Ga 0.0000 0.1540 0.0000  1 O 1.89
2 Ga 0.0000 0.8460 0.5000  1 O 1.89
3 Ga 0.5000 0.3460 0.5000  1 O 1.89
4 Ga 0.5000 0.6540 0.0000  1 O 1.89
5 P 0.9998 0.2218 0.3777  1 O 1.63
6 P 0.9998 0.7782 0.8777  1 O 1.63
7 P 0.4998 0.2782 0.8777  1 O 1.63
8 P 0.4998 0.7218 0.3777  1 O 1.63
9 O 0.0044 0.0665 0.5292  1 P 1.63
10 O 0.0044 0.9335 0.0292  1 P 1.63
11 O 0.5044 0.4335 0.0292  1 P 1.63
12 O 0.5044 0.5665 0.5292  1 P 1.63

Calculated values
- volume (Å³/atom) = 17.81
- final energy (eV/cell) = -64.43
- M_tot (μB per cell) = 0.000
- formation energy from raw total energies (kcal/mol of atoms) = -20.85
- energy relative to the lowest polymorph listed for this composition (meV/atom) = 101